VASP calculation (PBE) on a relaxed La2TbNdSb4 crystal.

Cell and atoms, written as POSCAR:
```
La2TbNdSb4
1.0
4.5507 0.0000 0.0000
0.0000 7.8676 -0.1526
0.0000 2.7715 7.3709
La Tb Nd Sb
2 1 1 4
Direct
0.0000 0.0000 0.0000
0.5000 0.0000 0.5000
0.0000 0.5000 0.5000
0.5000 0.5000 0.0000
0.0000 0.7429 0.7488
0.0000 0.2572 0.2512
0.5000 0.7404 0.2566
0.5000 0.2596 0.7434
```

The crystal system is monoclinic. Its raw formation energy is -1.2188 eV per atom. As for the total energy: -5.69 eV/atom.

=====

VASP calculation (PBE) on a relaxed CaAlTeI2 crystal.

Cell and atoms, written as POSCAR:
```
CaAlTeI2
1.0
-0.1981 2.3285 5.0142
-1.6659 -4.8093 2.1675
5.3660 -1.4580 0.8891
I Ca Te Al
2 1 1 1
Direct
0.0000 0.5000 0.0000
0.5000 0.0000 0.0000
0.5000 0.5000 0.5000
0.0000 0.0000 0.5000
0.0000 0.0000 0.0000
```

The crystal system is tetragonal. As for the relative energy among the computed polymorphs: 0.0 kJ/mol of atoms. Its raw formation energy is -0.5487 eV per atom. As for the total energy: -2.95 eV/atom.

=====

VASP calculation (PBE) on a relaxed Pu3Si4Pd4 crystal.

Cell and atoms, written as POSCAR:
```
Pu3Si4Pd4
1.0
4.1758 0.0000 0.0000
0.0000 4.0027 0.0000
-2.0879 -2.0014 12.5020
Pu Si Pd
3 4 4
Direct
0.3559 0.8559 0.7118
0.6441 0.1441 0.2882
0.0000 0.0000 0.0000
0.8056 0.3056 0.6112
0.4533 0.4533 0.9065
0.5467 0.5467 0.0935
0.1944 0.6944 0.3888
0.2501 0.2501 0.5002
0.0972 0.5972 0.1944
0.9028 0.4028 0.8056
0.7499 0.7499 0.4998
```

The crystal system is orthorhombic. Its raw formation energy is -0.6649 eV per atom. As for the total energy: -8.43 eV/atom.